The following is a DFT calculation (PBE+U) of a geometry-optimized KVCu2F8 structure.

The density of states at the Fermi level comes out at 0.71 states/eV per cell. Its calculated total energy is -4.816 eV/atom. The space-group type is No. 2.

Cell: 4.975 5.024 7.179 Å, 79.90 81.64 81.75°
Sites, in units of the cell vectors:
1 K 0.000 0.000 0.000
2 V 0.000 0.000 0.500
3 Cu 0.466 0.464 0.238
4 Cu 0.534 0.536 0.762
5 F 0.177 0.758 0.708
6 F 0.190 0.774 0.312
7 F 0.292 0.234 0.451
8 F 0.374 0.312 0.976
9 F 0.626 0.688 0.024
10 F 0.708 0.766 0.549
11 F 0.810 0.226 0.688
12 F 0.823 0.242 0.292